1.
Computed, not measured: a relaxed CsSrSmI6 crystal at the PBE level of DFT.

Calculated values
ΔE_f (raw) (eV/atom): -1.557
DOS at the Fermi energy (states/eV per atom): 0.0000

Cell: 8.3483 8.3483 16.7997 Å, 90.00 90.00 120.00°
Fractional positions:
Cs 0.0000 0.0000 0.0000
Cs 0.0000 0.0000 0.5000
Sr 0.3333 0.6667 0.2500
Sr 0.6667 0.3333 0.7500
Sm 0.6667 0.3333 0.2500
Sm 0.3333 0.6667 0.7500
I 0.6335 0.6161 0.1406
I 0.9826 0.3665 0.1406
I 0.3665 0.9826 0.6406
I 0.0174 0.6335 0.8594
I 0.3839 0.3665 0.3594
I 0.9826 0.6161 0.3594
I 0.6161 0.9826 0.8594
I 0.6335 0.0174 0.3594
I 0.0174 0.3839 0.6406
I 0.3839 0.0174 0.1406
I 0.6161 0.6335 0.6406
I 0.3665 0.3839 0.8594

***

2.
Computed, not measured: a relaxed U2Si3Ni12Ir crystal at the PBE level of DFT.

Calculated values
ΔE_f (raw) (eV/atom): -0.037
DOS at the Fermi energy (states/eV per atom): 0.6938

Cell: 6.2225 6.2225 6.2225 Å, 83.93 83.93 83.93°
Fractional positions:
U 0.6059 0.6059 0.6059
U 0.3941 0.3941 0.3941
Si 0.5000 0.0000 0.0000
Si 0.0000 0.5000 0.0000
Si 0.0000 0.0000 0.5000
Ni 0.3741 0.3741 0.9352
Ni 0.8028 0.8028 0.3203
Ni 0.3203 0.8028 0.8028
Ni 0.9352 0.3741 0.3741
Ni 0.8028 0.3203 0.8028
Ni 0.3741 0.9352 0.3741
Ni 0.6259 0.6259 0.0648
Ni 0.1972 0.1972 0.6797
Ni 0.6797 0.1972 0.1972
Ni 0.0648 0.6259 0.6259
Ni 0.1972 0.6797 0.1972
Ni 0.6259 0.0648 0.6259
Ir 0.0000 0.0000 0.0000

***

3.
Computed, not measured: a relaxed Mg2BeOs2 crystal at the PBE level of DFT.

Calculated values
DOS at the Fermi energy (states/eV per atom): 0.6790
Formation enthalpy at 0 K (eV per atom): 0.10

Cell: 5.9093 5.9093 4.4422 Å, 90.00 90.00 90.00°
Fractional positions:
Be 0.0000 0.0000 0.0000
Be 0.5000 0.5000 0.0000
Mg 0.1687 0.6687 0.5000
Mg 0.6687 0.8313 0.5000
Mg 0.8313 0.3313 0.5000
Mg 0.3313 0.1687 0.5000
Os 0.3552 0.8552 0.0000
Os 0.8552 0.6448 0.0000
Os 0.6448 0.1448 0.0000
Os 0.1448 0.3552 0.0000

***

4.
Computed, not measured: a relaxed K4Sm3InTe8 crystal at the PBE level of DFT.

Calculated values
ΔE_f (raw) (eV/atom): -1.189
DOS at the Fermi energy (states/eV per atom): 0.1287

Cell: 9.0905 9.7985 9.0907 Å, 117.66 120.00 90.00°
Fractional positions:
K 0.5000 0.0000 0.0000
K 0.5000 0.0000 0.5000
K 0.0000 0.0000 0.0000
K 0.0000 0.0000 0.5000
Sm 0.5000 0.5000 0.0000
Sm 0.5000 0.5000 0.5000
Sm 0.0000 0.5000 0.5000
In 0.0000 0.5000 0.0000
Te 0.2323 0.7085 0.9762
Te 0.2324 0.7086 0.4649
Te 0.2623 0.2869 0.5246
Te 0.7439 0.7085 0.9762
Te 0.2561 0.2915 0.0238
Te 0.7377 0.7131 0.4754
Te 0.7676 0.2914 0.5351
Te 0.7677 0.2915 0.0238

***

5.
Computed, not measured: a relaxed HoTmSbTe crystal at the PBE level of DFT.

Calculated values
ΔE_f (raw) (eV/atom): -1.147
DOS at the Fermi energy (states/eV per atom): 0.7425

Cell: 4.2470 4.2472 7.8883 Å, 90.00 105.61 120.00°
Fractional positions:
Ho 0.1241 0.9600 0.0994
Tm 0.4810 0.1385 0.6348
Sb 0.3043 0.5501 0.8696
Te 0.9685 0.3823 0.3658

***

6.
Computed, not measured: a relaxed Hf2TiRh3 crystal at the PBE level of DFT.

Calculated values
Energy above the lowest structure with this stoichiometry (eV per atom): 0.004
DOS at the Fermi energy (states/eV per atom): 1.1914
Formation enthalpy at 0 K (eV per atom): -0.81

Cell: 4.5456 4.5456 5.5982 Å, 90.00 90.00 120.00°
Fractional positions:
Hf 0.6667 0.3333 0.3236
Hf 0.3333 0.6667 0.6764
Ti 0.0000 0.0000 0.0000
Rh 0.0000 0.0000 0.5000
Rh 0.6667 0.3333 0.8300
Rh 0.3333 0.6667 0.1700

***

7.
Computed, not measured: a relaxed NdEuNi crystal at the PBE level of DFT.

Calculated values
Energy above the lowest structure with this stoichiometry (eV per atom): 0.083
DOS at the Fermi energy (states/eV per atom): 0.9770
Formation enthalpy at 0 K (eV per atom): -0.03

Cell: 4.9106 4.9106 4.9106 Å, 60.00 60.00 60.00°
Each line ends with the local moment (μB).
Fractional positions:
Eu 0.0000 0.0000 0.0000  6.85
Ni 0.2500 0.2500 0.2500  -0.09
Nd 0.5000 0.5000 0.5000  0.12

***

8.
Computed, not measured: a relaxed Ba3ErCd2O6 crystal at the PBE level of DFT.

Calculated values
ΔE_f (raw) (eV/atom): -2.091
DOS at the Fermi energy (states/eV per atom): 0.3392

Cell: 6.3018 6.3018 7.0105 Å, 90.00 90.00 120.00°
Fractional positions:
Ba 0.3333 0.6667 0.6156
Ba 0.6667 0.3333 0.3844
Ba 0.0000 0.0000 0.0000
Er 0.0000 0.0000 0.5000
Cd 0.6667 0.3333 0.8514
Cd 0.3333 0.6667 0.1486
O 0.6729 0.8365 0.3104
O 0.1635 0.3271 0.3104
O 0.1635 0.8365 0.3104
O 0.8365 0.6729 0.6896
O 0.3271 0.1635 0.6896
O 0.8365 0.1635 0.6896

***

9.
Computed, not measured: a relaxed BaInTe2 crystal at the PBE level of DFT.

Calculated values
ΔE_f (raw) (eV/atom): -0.391
DOS at the Fermi energy (states/eV per atom): 0.3165

Cell: 10.3181 10.3181 10.3181 Å, 24.90 24.90 24.90°
Each line ends with the local moment (μB).
Fractional positions:
Te 0.8878 0.8878 0.8878  0.00
Te 0.1122 0.1122 0.1122  0.00
Ba 0.0000 0.0000 0.0000  0.12
In 0.5000 0.5000 0.5000  0.00

***

10.
Computed, not measured: a relaxed SrAlPt3 crystal at the PBE level of DFT.

Calculated values
Energy above the lowest structure with this stoichiometry (eV per atom): 0.000
DOS at the Fermi energy (states/eV per atom): 0.3350
Formation enthalpy at 0 K (eV per atom): -0.78

Cell: 6.4133 6.0446 6.0446 Å, 120.00 90.00 90.00°
Fractional positions:
Sr 0.7499 0.6667 0.3334
Sr 0.2501 0.3333 0.6666
Al 0.0000 0.0000 0.0000
Al 0.5000 0.0000 0.0000
Pt 0.7500 0.6355 0.8177
Pt 0.2500 0.8177 0.6354
Pt 0.2500 0.3645 0.1823
Pt 0.7500 0.1823 0.3646
Pt 0.2500 0.8177 0.1823
Pt 0.7500 0.1823 0.8177

***

11.
Computed, not measured: a relaxed AlRh2Br crystal at the PBE level of DFT.

Calculated values
Energy above the lowest structure with this stoichiometry (eV per atom): 0.182
ΔE_f (raw) (eV/atom): -0.135
DOS at the Fermi energy (states/eV per atom): 0.5211

Cell: 6.6904 6.6904 6.6904 Å, 147.48 153.62 42.35°
Fractional positions:
Rh 0.9798 0.9798 0.0000
Rh 0.6661 0.1661 0.5000
Al 0.5475 0.5475 0.0000
Br 0.3067 0.8067 0.5000

***

12.
Computed, not measured: a relaxed DyMgZrTl crystal at the PBE level of DFT.

Calculated values
DOS at the Fermi energy (states/eV per atom): 0.7203
Formation enthalpy at 0 K (eV per atom): -0.06

Cell: 5.1630 5.1630 5.1630 Å, 60.00 60.00 60.00°
Fractional positions:
Tl 0.7500 0.7500 0.7500
Mg 0.2500 0.2500 0.2500
Zr 0.0000 0.0000 0.0000
Dy 0.5000 0.5000 0.5000

***

13.
Computed, not measured: a relaxed Pu6Ge5Os crystal at the PBE level of DFT.

Calculated values
DOS at the Fermi energy (states/eV per atom): 2.7216
Formation enthalpy at 0 K (eV per atom): -0.32

Cell: 4.7190 8.0306 7.8052 Å, 59.04 77.25 90.00°
Each line ends with the local moment (μB).
Fractional positions:
Ge 0.7570 0.1642 0.6717  -0.05
Ge 0.2519 0.3307 0.3386  -0.03
Ge 0.0000 0.5000 0.0000  0.00
Ge 0.7481 0.6693 0.6614  -0.03
Ge 0.2430 0.8358 0.3283  -0.05
Os 0.0000 0.0000 0.0000  -0.29
Pu 0.7522 0.6006 0.3156  4.94
Pu 0.7522 0.0837 0.3156  4.94
Pu 0.5000 0.7526 0.0000  -4.48
Pu 0.5000 0.2474 0.0000  -4.48
Pu 0.2478 0.9163 0.6844  4.94
Pu 0.2478 0.3994 0.6844  4.94